Entry 1:
CeBiF (PBE, relaxed); uncorrected energy = -17.71 eV per cell; formation energy without anion corrections = -2007.1 meV/atom; ΔE to the lowest computed polymorph = 0.0 meV per atom; symmetry = P-6m2, No. 187
1.0
-0.266 -2.494 -4.072
0.258 -3.548 2.156
-3.719 1.688 -0.791
Ce Bi F
1 1 1
Cartesian
-0.044 -0.416 -0.679
-1.245 -3.466 -1.541
-2.438 -0.473 -0.487

***

Entry 2:
CeBi2F11 (PBE, relaxed); uncorrected energy = -145.41 eV per cell; formation energy without anion corrections = -2744.5 meV/atom; symmetry = Ibam, No. 72
1.0
1.063 -1.467 8.099
0.906 -8.251 2.638
8.126 -0.626 3.073
Bi F Ce
4 22 2
Cartesian
7.724 -3.272 9.942
3.884 -6.768 7.976
6.210 -3.576 5.834
2.371 -7.072 3.867
8.191 -9.434 11.782
3.404 -7.866 9.779
1.631 -6.728 7.892
4.505 -1.899 2.496
1.351 -2.596 5.414
3.336 -6.643 5.757
5.589 -8.446 11.313
6.340 -5.239 4.280
1.904 -0.910 2.028
5.047 -5.172 6.905
4.148 -3.201 4.937
3.754 -5.105 9.530
6.759 -3.701 8.053
3.949 -8.883 7.197
0.000 0.000 0.000
6.145 -1.461 6.613
8.463 -3.616 5.918
8.743 -7.749 8.396
7.885 -5.521 9.901
5.946 -7.143 8.873
6.691 -2.478 4.031
2.209 -4.823 3.909
7.571 -7.758 10.357
2.524 -2.586 3.452

***

Entry 3:
Ce2BiF (PBE, relaxed); uncorrected energy = -22.09 eV per cell; formation energy without anion corrections = -1117.7 meV/atom; ΔE to the lowest computed polymorph = 454.7 meV per atom; symmetry = P4/mmm, No. 123
1.0
3.734 0.000 0.000
0.000 3.734 0.000
0.000 0.000 7.199
Ce Bi F
2 1 1
Cartesian
0.000 0.000 1.659
0.000 0.000 5.540
1.867 1.867 3.600
1.867 1.867 0.000

***

Entry 4:
CeBiF (PBE, relaxed); uncorrected energy = -17.10 eV per cell; formation energy without anion corrections = -1806.3 meV/atom; ΔE to the lowest computed polymorph = 200.8 meV per atom; symmetry = I4mm, No. 107
1.0
3.441 0.000 0.000
0.000 3.441 0.000
-1.720 -1.720 6.058
Bi F Ce
1 1 1
Cartesian
0.000 0.000 0.078
0.000 0.000 3.358
1.720 1.720 2.622

***

Entry 5:
CeBiF6 (PBE, relaxed); uncorrected energy = -93.26 eV per cell; formation energy without anion corrections = -3198.7 meV/atom; symmetry = C2/m, No. 12
1.0
-3.130 -5.874 4.276
5.708 -3.568 4.156
0.288 -0.630 9.106
F Ce Bi
12 2 2
Cartesian
-0.547 -5.759 11.247
4.018 -6.547 8.602
3.412 -4.312 6.291
0.606 -2.204 2.273
-0.710 -5.388 6.347
2.954 -2.454 8.881
3.575 -4.684 11.191
2.259 -7.867 15.265
-1.153 -3.525 8.936
-0.089 -7.618 8.657
0.743 -2.508 6.532
2.122 -7.564 11.006
-1.565 -2.937 2.138
2.854 -1.784 2.078
2.998 -2.099 6.631
-1.421 -3.252 6.691

***

Entry 6:
Ce2BiF3 (PBE, relaxed); uncorrected energy = -77.04 eV per cell; formation energy without anion corrections = -2859.2 meV/atom; symmetry = C2/m, No. 12
1.0
4.127 0.000 0.000
-2.063 7.746 0.059
0.000 -3.439 7.531
Ce F Bi
4 6 2
Cartesian
2.063 -0.431 1.791
2.063 3.590 2.403
0.000 4.738 5.799
0.000 0.717 5.187
2.063 1.379 3.447
0.000 2.928 4.143
0.000 -0.486 3.057
2.063 4.793 4.533
2.063 -0.718 4.966
0.000 5.025 2.624
0.000 1.974 0.355
2.063 2.333 7.234